## BeSBrCl2 (PBE)

Data for a relaxed BeSBrCl2 crystal.

Results
- ΔE to the lowest computed polymorph: 0 kJ/mol of formula units
- Density: 2.88 Mg/m³
- Total DFT energy (no corrections): -13.72 eV per cell

Geometry as extended XYZ:
```
5
Lattice="4.108 0.000 0.000 0.000 4.108 0.000 0.000 0.000 6.554" Properties=species:S:1:pos:R:3 pbc="T T T"
Be 0.000 0.000 0.000
S 0.000 0.000 3.277
Br 2.054 2.054 3.277
Cl 0.000 2.054 0.000
Cl 2.054 0.000 0.000
```

***

## Be2TeBrCl (PBE)

Data for a relaxed Be2TeBrCl crystal.

Results
- Density: 3.12 Mg/m³
- Total DFT energy (no corrections): -9.38 eV per cell

Geometry as extended XYZ:
```
5
Lattice="4.293 0.000 0.000 0.000 4.293 0.000 0.000 0.000 7.533" Properties=species:S:1:pos:R:3 pbc="T T T"
Be 0.000 2.147 0.000
Be 2.147 0.000 0.000
Te 0.000 0.000 3.766
Br 2.147 2.147 3.766
Cl 0.000 0.000 0.000
```

***

## BeCoBr (PBE)

Data for a relaxed BeCoBr crystal.

Results
- ΔE to the lowest computed polymorph: 19 kJ/mol of formula units
- Density: 4.66 Mg/m³
- Total DFT energy (no corrections): -25.71 eV per cell

Geometry as extended XYZ:
```
6
Lattice="3.728 0.000 0.000 -1.861 3.250 0.000 -0.031 -1.608 8.699" Properties=species:S:1:pos:R:3 pbc="T T T"
Be 0.000 0.000 0.000
Be -0.028 0.584 7.596
Co 1.835 -0.531 7.799
Co 1.839 1.686 6.578
Br 1.836 -0.459 5.184
Br 1.882 1.691 1.529
```

***

## BeCoBr2 (PBE)

Data for a relaxed BeCoBr2 crystal.

Results
- ΔE to the lowest computed polymorph: 90 kJ/mol of formula units
- Density: 4.71 Mg/m³
- Total DFT energy (no corrections): -13.54 eV per cell

Geometry as extended XYZ:
```
4
Lattice="3.282 0.000 0.000 0.000 3.282 0.000 0.000 0.000 7.453" Properties=species:S:1:pos:R:3 pbc="T T T"
Be 0.000 0.000 0.000
Co 1.641 1.641 6.755
Br 0.000 0.000 5.213
Br 1.641 1.641 1.583
```

***

## BeCoBr (PBE)

Data for a relaxed BeCoBr crystal.

Results
- ΔE to the lowest computed polymorph: 11 kJ/mol of formula units
- Density: 4.84 Mg/m³
- Total DFT energy (no corrections): -25.86 eV per cell

Geometry as extended XYZ:
```
6
Lattice="3.100 -1.789 0.000 3.100 1.789 0.000 -1.994 0.000 9.137" Properties=species:S:1:pos:R:3 pbc="T T T"
Be 1.033 0.000 0.157
Be 3.172 0.000 8.980
Co 1.107 0.000 7.992
Co 3.099 0.000 1.145
Br 1.032 0.000 2.637
Br 3.173 0.000 6.500
```

***

## BeCoBr (PBE)

Data for a relaxed BeCoBr crystal.

Results
- ΔE to the lowest computed polymorph: 206 kJ/mol of formula units
- Density: 5.69 Mg/m³
- Total DFT energy (no corrections): -10.91 eV per cell

Geometry as extended XYZ:
```
3
Lattice="3.108 0.000 0.000 -1.554 2.692 0.000 0.000 0.000 5.158" Properties=species:S:1:pos:R:3 pbc="T T T"
Be 0.000 0.000 0.000
Co 0.000 1.795 3.678
Br 1.554 0.897 1.741
```

***

## BeCoBr (PBE)

Data for a relaxed BeCoBr crystal.

Results
- ΔE to the lowest computed polymorph: 14 kJ/mol of formula units
- Density: 4.79 Mg/m³
- Total DFT energy (no corrections): -25.82 eV per cell

Geometry as extended XYZ:
```
6
Lattice="3.363 0.000 0.000 0.000 3.421 0.000 0.049 1.699 8.900" Properties=species:S:1:pos:R:3 pbc="T T T"
Be 0.000 0.000 0.000
Be 1.682 3.422 1.553
Co 1.732 3.411 8.828
Co 3.365 1.711 1.617
Br 1.739 1.700 7.051
Br 3.368 3.422 3.395
```

***

## BeCoBr2 (PBE)

Data for a relaxed BeCoBr2 crystal.

Results
- ΔE to the lowest computed polymorph: 464 kJ/mol of formula units
- Density: 5.00 Mg/m³
- Total DFT energy (no corrections): -9.67 eV per cell

Geometry as extended XYZ:
```
4
Lattice="0.000 3.357 3.357 3.357 0.000 3.357 3.357 3.357 0.000" Properties=species:S:1:pos:R:3 pbc="T T T"
Be 0.000 0.000 0.000
Co 5.035 5.035 5.035
Br 1.678 1.678 1.678
Br 3.357 3.357 3.357
```

***

## BeCoBr2 (PBE)

Data for a relaxed BeCoBr2 crystal.

Results
- ΔE to the lowest computed polymorph: 124 kJ/mol of formula units
- Density: 5.04 Mg/m³
- Total DFT energy (no corrections): -26.37 eV per cell

Geometry as extended XYZ:
```
8
Lattice="-2.683 2.683 5.210 2.683 -2.683 5.210 2.683 2.683 -5.210" Properties=species:S:1:pos:R:3 pbc="T T T"
Be 0.000 0.000 0.000
Be 0.000 2.683 2.605
Co 2.683 0.000 2.605
Co 0.000 0.000 5.210
Br 4.025 1.225 -1.303
Br 1.225 1.342 1.303
Br -1.342 1.458 3.908
Br 1.458 1.342 6.513
```

***

## BeCo3Br (PBE)

Data for a relaxed BeCo3Br crystal.

Results
- ΔE to the lowest computed polymorph: 0 kJ/mol of formula units
- Density: 6.65 Mg/m³
- Total DFT energy (no corrections): -22.56 eV per cell

Geometry as extended XYZ:
```
5
Lattice="4.048 0.000 0.000 0.000 4.048 0.000 0.000 0.000 4.048" Properties=species:S:1:pos:R:3 pbc="T T T"
Be 0.000 0.000 0.000
Co 0.000 0.000 2.024
Co 0.000 2.024 0.000
Co 2.024 0.000 0.000
Br 2.024 2.024 2.024
```

***

## BeCoBr2 (PBE)

Data for a relaxed BeCoBr2 crystal.

Results
- ΔE to the lowest computed polymorph: 246 kJ/mol of formula units
- Density: 4.57 Mg/m³
- Total DFT energy (no corrections): -11.92 eV per cell

Geometry as extended XYZ:
```
4
Lattice="3.411 0.000 0.000 0.000 3.582 0.000 0.000 0.000 6.770" Properties=species:S:1:pos:R:3 pbc="T T T"
Be 0.000 0.000 0.000
Co 1.705 0.000 3.385
Br 0.000 1.791 3.385
Br 1.705 1.791 0.000
```

***

## BeCoBr (PBE)

Data for a relaxed BeCoBr crystal.

Results
- ΔE to the lowest computed polymorph: 231 kJ/mol of formula units
- Density: 5.19 Mg/m³
- Total DFT energy (no corrections): -10.66 eV per cell

Geometry as extended XYZ:
```
3
Lattice="0.000 2.720 5.516 1.576 0.000 5.516 1.576 2.720 0.000" Properties=species:S:1:pos:R:3 pbc="T T T"
Be 0.000 0.000 0.000
Co 1.576 2.720 3.984
Br 1.576 2.720 7.149
```

***

## BeCoBr2 (PBE)

Data for a relaxed BeCoBr2 crystal.

Results
- ΔE to the lowest computed polymorph: 0 kJ/mol of formula units
- Density: 4.41 Mg/m³
- Total DFT energy (no corrections): -14.47 eV per cell

Geometry as extended XYZ:
```
4
Lattice="3.462 -1.709 0.000 3.462 1.709 0.000 -0.593 0.000 7.240" Properties=species:S:1:pos:R:3 pbc="T T T"
Be 0.000 0.000 0.000
Co 4.391 0.000 6.388
Br 2.013 0.000 5.076
Br 4.142 0.000 1.342
```

***

## BeCoBr2 (PBE)

Data for a relaxed BeCoBr2 crystal.

Results
- ΔE to the lowest computed polymorph: 247 kJ/mol of formula units
- Density: 4.48 Mg/m³
- Total DFT energy (no corrections): -11.92 eV per cell

Geometry as extended XYZ:
```
4
Lattice="-1.751 1.751 6.888 1.751 -1.751 6.888 1.751 1.751 -6.888" Properties=species:S:1:pos:R:3 pbc="T T T"
Be 0.000 0.000 0.000
Co 0.000 1.751 3.444
Br 1.751 0.000 3.444
Br 0.000 0.000 6.888
```